NbTlIn2Ge: PBEsol geometry, SCAN.

POSCAR file:
```
NbTlIn2Ge
1.0
5.139 0.000 0.000
0.000 5.139 0.000
0.000 0.000 5.252
In Ge Tl Nb
2 1 1 1
Cartesian
2.569 0.000 0.000
0.000 2.569 0.000
0.000 0.000 0.000
0.000 0.000 2.626
2.569 2.569 2.626
```

Results
SG   P4/mmm
Formation energy   1.0414 eV per atom
N(E_F)   4.5 states/eV/cell
Total moment   3.85 μB per formula unit



InNiGeS2: PBEsol geometry, SCAN.

POSCAR file:
```
InNiGeS2
1.0
4.353 0.000 0.000
0.000 4.353 0.000
0.000 0.000 5.064
In S Ge Ni
1 2 1 1
Cartesian
0.000 0.000 2.532
2.176 0.000 0.000
0.000 2.176 0.000
2.176 2.176 2.532
0.000 0.000 0.000
```

Results
Energy relative to the elements, uncorrected   0.326 eV/atom
SG   P4/mmm
N(E_F)   3.3 states/eV/cell
Total moment   0.00 μB per formula unit



Tm4InNi2Ge4: PBEsol geometry, SCAN.

POSCAR file:
```
Tm4InNi2Ge4
1.0
4.141 0.000 0.000
0.000 6.872 -0.005
-2.071 -2.413 7.160
Ge Tm In Ni
4 4 1 2
Cartesian
2.071 3.591 4.260
2.071 0.213 6.219
0.000 0.869 2.895
0.000 4.246 0.936
2.071 2.252 1.309
2.071 5.694 2.233
0.000 -1.234 4.922
0.000 2.207 5.847
0.000 0.000 0.000
2.071 1.098 4.046
0.000 3.362 3.109
```

Results
SG   C2/m
Formation energy   -0.8688 eV per atom
N(E_F)   3.3 states/eV/cell
Total moment   0.00 μB per formula unit



InGeP2O: PBEsol geometry, SCAN.

POSCAR file:
```
InGeP2O
1.0
-0.406 1.985 2.950
0.626 -3.973 2.759
4.805 0.829 0.103
P O In Ge
2 1 1 1
Cartesian
2.402 0.415 0.051
0.313 -1.986 1.379
-0.203 0.992 1.475
2.513 -0.579 2.906
0.000 0.000 0.000
```

Results
Energy relative to the elements, uncorrected   0.152 eV/atom
SG   P4/mmm
N(E_F)   2.3 states/eV/cell
Total moment   0.00 μB per formula unit



ZrIn2GeO: PBEsol geometry, SCAN.

POSCAR file:
```
ZrIn2GeO
1.0
5.007 0.000 0.000
0.000 5.632 0.000
0.000 0.000 5.632
Ge Zr In O
1 1 2 1
Cartesian
2.503 0.000 0.000
0.000 0.000 0.000
0.000 2.816 0.000
0.000 0.000 2.816
2.503 2.816 2.816
```

Results
Energy relative to the elements, uncorrected   0.921 eV/atom
SG   P4/mmm
N(E_F)   4.4 states/eV/cell
Total moment   2.01 μB per formula unit



In2SiGePb: PBEsol geometry, SCAN.

POSCAR file:
```
In2SiGePb
1.0
5.221 0.000 0.000
0.000 5.601 0.000
0.000 0.000 5.601
Ge Si In Pb
1 1 2 1
Cartesian
2.611 2.801 2.801
2.611 0.000 0.000
0.000 0.000 2.801
0.000 2.801 0.000
0.000 0.000 0.000
```

Results
Energy relative to the elements, uncorrected   1.172 eV/atom
SG   P4/mmm
N(E_F)   4.0 states/eV/cell
Total moment   0.33 μB per formula unit



RbIn3Ge: PBEsol geometry, SCAN.

POSCAR file:
```
RbIn3Ge
1.0
5.508 0.000 0.000
0.000 5.508 0.000
0.000 0.000 5.508
In Ge Rb
3 1 1
Cartesian
0.000 0.000 2.754
2.754 0.000 0.000
0.000 2.754 0.000
0.000 0.000 0.000
2.754 2.754 2.754
```

Results
SG   Pm-3m
Formation energy   0.1500 eV per atom
N(E_F)   2.6 states/eV/cell
Total moment   0.00 μB per formula unit



InGeRh3: PBEsol geometry, SCAN.

POSCAR file:
```
InGeRh3
1.0
-3.023 -3.129 -1.000
2.875 -1.861 -2.864
1.590 -2.584 3.275
In Rh Ge
1 3 1
Cartesian
0.721 -3.787 -0.295
0.795 -1.292 1.638
-1.511 -1.565 -0.500
1.437 -0.931 -1.432
0.000 0.000 0.000
```

Results
SG   Pm-3m
Formation energy   0.1659 eV per atom
N(E_F)   1.6 states/eV/cell
Total moment   0.00 μB per formula unit



Tb4InGe4Rh: PBEsol geometry, SCAN.

POSCAR file:
```
Tb4InGe4Rh
1.0
4.216 0.000 0.000
0.000 10.198 -0.002
-2.108 -2.607 9.710
Rh In Tb Ge
2 2 8 8
Cartesian
0.000 -0.192 4.670
2.108 7.783 5.038
0.000 5.099 -0.001
0.000 0.000 0.000
2.108 2.576 0.818
0.000 5.015 8.890
0.000 5.236 5.407
2.108 9.446 2.498
0.000 -1.855 7.210
2.108 2.355 4.301
2.108 5.860 2.467
0.000 1.731 7.240
2.108 -0.053 8.494
0.000 1.242 2.589
0.000 7.633 3.789
0.000 7.644 1.214
2.108 3.740 6.893
2.108 -0.042 5.919
2.108 6.348 7.119
0.000 3.851 2.815
```

Results
SG   C2/m
Formation energy   -0.9693 eV per atom
N(E_F)   6.3 states/eV/cell
Total moment   0.00 μB per formula unit



ScInGe2Ru: PBEsol geometry, SCAN.

POSCAR file:
```
ScInGe2Ru
1.0
-2.221 1.066 -4.256
0.025 -4.767 -1.207
-4.658 -0.602 2.280
Ru Ge Sc In
1 2 1 1
Cartesian
-3.427 -2.152 -1.592
-1.111 0.533 -2.128
0.013 -2.384 -0.604
-2.329 -0.301 1.140
0.000 0.000 0.000
```

Results
SG   P4/mmm
Formation energy   1.3792 eV per atom
N(E_F)   3.3 states/eV/cell
Total moment   2.72 μB per formula unit



InGeRu2W: PBEsol geometry, SCAN.

POSCAR file:
```
InGeRu2W
1.0
4.389 0.000 0.000
0.000 4.389 0.000
0.000 0.000 4.786
In W Ru Ge
1 1 2 1
Cartesian
0.000 0.000 2.393
2.194 2.194 2.393
0.000 2.194 0.000
2.194 0.000 0.000
0.000 0.000 0.000
```

Results
SG   P4/mmm
Formation energy   1.5963 eV per atom
N(E_F)   1.3 states/eV/cell
Total moment   0.00 μB per formula unit



In2GeS: PBEsol geometry, SCAN.

POSCAR file:
```
In2GeS
1.0
5.982 0.000 0.000
0.000 5.982 0.000
-2.991 -2.991 6.121
S Ge In
2 2 4
Cartesian
2.991 0.000 3.061
2.991 2.991 0.000
0.000 0.000 0.000
0.000 2.991 3.061
4.523 1.496 1.530
1.496 1.531 4.591
1.460 4.487 1.530
-1.496 -1.531 4.591
```

Results
Energy relative to the elements, uncorrected   -0.286 eV/atom
SG   I-42d
N(E_F)   0.9 states/eV/cell
Total moment   0.00 μB per formula unit